# TaTc2HOs, optimized geometry, DFT GGA-PBE
data_TaTc2HOs
_chemical_formula_sum 'Ta1 Tc2 H1 Os1'
_cell_length_a 3.948
_cell_length_b 3.948
_cell_length_c 4.063
_cell_angle_alpha 90.00
_cell_angle_beta 90.00
_cell_angle_gamma 90.00
_space_group_name_H-M_alt 'P 1'
_space_group_IT_number 1
_space_group_name_Hall 'P 1'
loop_
_atom_site_label
_atom_site_type_symbol
_atom_site_fract_x
_atom_site_fract_y
_atom_site_fract_z
H1 H 0.000 0.000 0.000
Os1 Os 0.500 0.500 0.500
Tc1 Tc 0.000 0.500 0.000
Tc2 Tc 0.500 0.000 0.000
Ta1 Ta 0.000 0.000 0.500
# ΔE to the lowest computed polymorph   0 meV per atom
# Crystal system   tetragonal
# Symmetry   P4/mmm (123)
# V   12.67 A^3/atom